Record 1
# KLiHg2I6 | the Alexandria database | PBE | relaxed
data_KLiHg2I6
_chemical_formula_sum 'K1 Li1 Hg2 I6'
_cell_length_a 9.300
_cell_length_b 9.300
_cell_length_c 9.300
_cell_angle_alpha 50.62
_cell_angle_beta 50.62
_cell_angle_gamma 50.62
_space_group_name_H-M_alt 'P 1'
_space_group_IT_number 1
_space_group_name_Hall 'P 1'
loop_
_atom_site_label
_atom_site_type_symbol
_atom_site_fract_x
_atom_site_fract_y
_atom_site_fract_z
_atom_site_occupancy
K1 K 0.000 0.000 0.000 1
Li1 Li 0.500 0.500 0.500 1
Hg1 Hg 0.239 0.239 0.239 1
Hg2 Hg 0.761 0.761 0.761 1
I1 I 0.121 0.721 0.429 1
I2 I 0.279 0.571 0.879 1
I3 I 0.429 0.121 0.721 1
I4 I 0.571 0.879 0.279 1
I5 I 0.721 0.429 0.121 1
I6 I 0.879 0.279 0.571 1
# Calculated volume in Å³ per cell: 443.0
# Magnetic moment in μB/f.u.: 0.0
# Total energy in eV/atom: -1.98
# Space group: R-3 (148)
# ΔE_f (raw) in meV/atom: -688

Record 2
# Y4TlCu3 | the Alexandria database | PBE | relaxed
data_Y4TlCu3
_chemical_formula_sum 'Y4 Tl1 Cu3'
_cell_length_a 8.771
_cell_length_b 8.771
_cell_length_c 8.771
_cell_angle_alpha 33.45
_cell_angle_beta 33.45
_cell_angle_gamma 33.45
_space_group_name_H-M_alt 'P 1'
_space_group_IT_number 1
_space_group_name_Hall 'P 1'
loop_
_atom_site_label
_atom_site_type_symbol
_atom_site_fract_x
_atom_site_fract_y
_atom_site_fract_z
_atom_site_occupancy
Y1 Y 0.118 0.118 0.118 1
Y2 Y 0.369 0.369 0.369 1
Y3 Y 0.631 0.631 0.631 1
Y4 Y 0.882 0.882 0.882 1
Tl1 Tl 0.500 0.500 0.500 1
Cu1 Cu 0.000 0.000 0.000 1
Cu2 Cu 0.248 0.248 0.248 1
Cu3 Cu 0.752 0.752 0.752 1
# ΔH_f (0 K) in eV per atom: -0.253
# Calculated volume in Å³ per cell: 182.6
# Magnetic moment in μB/f.u.: 0.0
# Total energy in eV/atom: -5.32
# Space group: R-3m (166)

Record 3
# TlPd2Pt | the Alexandria database | PBE | relaxed
data_TlPd2Pt
_chemical_formula_sum 'Tl4 Pd8 Pt4'
_cell_length_a 6.495
_cell_length_b 6.495
_cell_length_c 6.495
_cell_angle_alpha 90.00
_cell_angle_beta 90.00
_cell_angle_gamma 90.00
_space_group_name_H-M_alt 'P 1'
_space_group_IT_number 1
_space_group_name_Hall 'P 1'
loop_
_atom_site_label
_atom_site_type_symbol
_atom_site_fract_x
_atom_site_fract_y
_atom_site_fract_z
_atom_site_occupancy
Tl1 Tl 0.000 0.000 0.000 1
Tl2 Tl 0.000 0.500 0.500 1
Tl3 Tl 0.500 0.000 0.500 1
Tl4 Tl 0.500 0.500 0.000 1
Pd1 Pd 0.000 0.000 0.500 1
Pd2 Pd 0.000 0.500 0.000 1
Pd3 Pd 0.250 0.250 0.750 1
Pd4 Pd 0.250 0.750 0.250 1
Pd5 Pd 0.500 0.000 0.000 1
Pd6 Pd 0.500 0.500 0.500 1
Pd7 Pd 0.750 0.250 0.250 1
Pd8 Pd 0.750 0.750 0.750 1
Pt1 Pt 0.250 0.250 0.250 1
Pt2 Pt 0.250 0.750 0.750 1
Pt3 Pt 0.750 0.250 0.750 1
Pt4 Pt 0.750 0.750 0.250 1
# ΔH_f (0 K) in eV per atom: -0.106
# Calculated volume in Å³ per cell: 274.0
# Magnetic moment in μB/f.u.: 0.0
# Total energy in eV/atom: -4.80
# Space group: F-43m (216)

Record 4
# PrIn3 | the Alexandria database | PBE | relaxed
data_PrIn3
_chemical_formula_sum 'Pr2 In6'
_cell_length_a 4.631
_cell_length_b 4.631
_cell_length_c 10.167
_cell_angle_alpha 90.00
_cell_angle_beta 90.00
_cell_angle_gamma 90.00
_space_group_name_H-M_alt 'P 1'
_space_group_IT_number 1
_space_group_name_Hall 'P 1'
loop_
_atom_site_label
_atom_site_type_symbol
_atom_site_fract_x
_atom_site_fract_y
_atom_site_fract_z
_atom_site_occupancy
Pr1 Pr 0.000 0.000 0.000 1
Pr2 Pr 0.500 0.500 0.500 1
In1 In 0.000 0.000 0.500 1
In2 In 0.000 0.500 0.250 1
In3 In 0.000 0.500 0.750 1
In4 In 0.500 0.000 0.250 1
In5 In 0.500 0.000 0.750 1
In6 In 0.500 0.500 0.000 1
# ΔH_f (0 K) in eV per atom: -0.368
# Calculated volume in Å³ per cell: 218.0
# Magnetic moment in μB/f.u.: 0.0
# Total energy in eV/atom: -3.62
# Space group: I4/mmm (139)

Record 5
# LiSi2Hg | the Alexandria database | PBE | relaxed
data_LiSi2Hg
_chemical_formula_sum 'Li2 Si4 Hg2'
_cell_length_a 3.724
_cell_length_b 4.761
_cell_length_c 8.259
_cell_angle_alpha 90.00
_cell_angle_beta 90.00
_cell_angle_gamma 90.00
_space_group_name_H-M_alt 'P 1'
_space_group_IT_number 1
_space_group_name_Hall 'P 1'
loop_
_atom_site_label
_atom_site_type_symbol
_atom_site_fract_x
_atom_site_fract_y
_atom_site_fract_z
_atom_site_occupancy
Li1 Li 0.000 0.000 0.000 1
Li2 Li 0.500 0.500 0.500 1
Si1 Si 0.000 0.000 0.442 1
Si2 Si 0.000 0.500 0.754 1
Si3 Si 0.500 0.000 0.254 1
Si4 Si 0.500 0.500 0.942 1
Hg1 Hg 0.000 0.500 0.222 1
Hg2 Hg 0.500 0.000 0.722 1
# Calculated volume in Å³ per cell: 146.4
# Magnetic moment in μB/f.u.: 0.0
# Total energy in eV/atom: -3.07
# Space group: Imm2 (44)
# ΔE_f (raw) in meV/atom: 198

Record 6
# Pr2Al4CuRh3 | the Alexandria database | PBE | relaxed
data_Pr2Al4CuRh3
_chemical_formula_sum 'Pr2 Al4 Cu1 Rh3'
_cell_length_a 4.283
_cell_length_b 4.283
_cell_length_c 10.268
_cell_angle_alpha 90.00
_cell_angle_beta 90.00
_cell_angle_gamma 90.00
_space_group_name_H-M_alt 'P 1'
_space_group_IT_number 1
_space_group_name_Hall 'P 1'
loop_
_atom_site_label
_atom_site_type_symbol
_atom_site_fract_x
_atom_site_fract_y
_atom_site_fract_z
_atom_site_occupancy
Pr1 Pr 0.000 0.500 0.244 1
Pr2 Pr 0.500 0.000 0.756 1
Al1 Al 0.000 0.000 0.500 1
Al2 Al 0.000 0.500 0.876 1
Al3 Al 0.500 0.000 0.124 1
Al4 Al 0.500 0.500 0.500 1
Cu1 Cu 0.500 0.500 0.000 1
Rh1 Rh 0.000 0.000 0.000 1
Rh2 Rh 0.000 0.500 0.630 1
Rh3 Rh 0.500 0.000 0.370 1
# ΔH_f (0 K) in eV per atom: -0.736
# Calculated volume in Å³ per cell: 188.3
# Magnetic moment in μB/f.u.: 0.0
# Total energy in eV/atom: -5.80
# Space group: P-4m2 (115)